Entry 1:
Entry from the Alexandria database: a geometry-optimized PmMgPa2N5 structure (PBE-GGA).

Properties
Magnetization ... 0.00 μB per atom
Energy relative to the elements, uncorrected ... -1.319 eV per atom

abc: 3.5563 7.0624 11.4182
angles: 90.00 90.00 104.58
Last column: nearest neighbours and their distance in Å.
Fractional positions:
Mg 0.4992 0.9985 0.4878  4 N 2.10-2.17
Mg 0.5008 0.0015 0.9878  4 N 2.10-2.17
Pa 0.1350 0.2700 0.6976  3 N 2.15-2.20
Pa 0.1250 0.2500 0.2369  5 N 2.20-2.40
Pa 0.8650 0.7300 0.1976  3 N 2.15-2.20
Pa 0.8750 0.7500 0.7369  5 N 2.20-2.40
N 0.7055 0.4110 0.8239  3 Pa 2.48-2.52, 2 Pm 2.53
N 0.7138 0.4276 0.1450  3 Pa 2.15-2.40
N 0.3699 0.7399 0.0848  1 Mg 2.10, 2 Pa 2.20
N 0.4555 0.9110 0.8060  1 Mg 2.17, 2 Pa 2.23
N 0.9420 0.8840 0.5617  2 Mg 2.12, 1 Pa 2.20
N 0.0580 0.1160 0.0617  2 Mg 2.12, 1 Pa 2.20
N 0.5445 0.0890 0.3060  1 Mg 2.17, 2 Pa 2.23
N 0.2862 0.5724 0.6450  3 Pa 2.15-2.40
N 0.6301 0.2601 0.5848  1 Mg 2.10, 2 Pa 2.20
N 0.2945 0.5890 0.3239  3 Pa 2.48-2.52, 2 Pm 2.53
Pm 0.7797 0.5593 0.4803  6 N 2.37-2.59
Pm 0.2203 0.4407 0.9803  6 N 2.37-2.59


Entry 2:
Entry from the Alexandria database: a geometry-optimized Pr2MgPaN4 structure (PBE-GGA).

Properties
N(E_F) ... 2.56 states/eV/f.u.
Magnetization ... 0.00 μB per atom
Energy relative to the elements, uncorrected ... -1.249 eV per atom

abc: 3.5965 6.1713 5.9283
angles: 71.75 90.00 90.00
Last column: nearest neighbours and their distance in Å.
Fractional positions:
N 0.5000 0.7266 0.2365  1 Pa 2.27, 2 Mg 2.50
N 0.0000 0.7199 0.7657  1 Mg 2.38, 2 Pa 2.41, 3 Pr 2.53-2.65
N 0.0000 0.2801 0.2343  1 Mg 2.38, 2 Pa 2.41, 3 Pr 2.53-2.65
N 0.5000 0.2734 0.7635  1 Pa 2.27, 2 Mg 2.50
Pa 0.5000 0.5000 0.0000  6 N 2.27-2.41
Pr 0.0000 0.0000 0.0000  6 N 2.53-2.56
Pr 0.5000 0.0000 0.5000  6 N 2.63-2.65
Mg 0.0000 0.5000 0.5000  6 N 2.38-2.50